PuNbVMo | GGA-PBE | relaxed

Results
- Total magnetic moment: 3.93 μB/f.u.
- Formation energy: 198 meV per atom

Geometry as extended XYZ:
```
16
Lattice="6.534 0.000 0.000 0.000 6.534 0.000 0.000 0.000 6.534" Properties=species:S:1:pos:R:3 pbc="T T T"
Pu 0.000 0.000 0.000
Pu 0.000 3.267 3.267
Pu 3.267 0.000 3.267
Pu 3.267 3.267 0.000
Nb 0.000 0.000 3.267
Nb 0.000 3.267 0.000
Nb 3.267 0.000 0.000
Nb 3.267 3.267 3.267
V 1.633 1.633 1.633
V 1.633 4.900 4.900
V 4.900 1.633 4.900
V 4.900 4.900 1.633
Mo 1.633 1.633 4.900
Mo 1.633 4.900 1.633
Mo 4.900 1.633 1.633
Mo 4.900 4.900 4.900
```

***

RbNbMo3 | GGA-PBE | relaxed

Results
- Total magnetic moment: 0.00 μB/f.u.
- Formation energy: 3132 meV per atom
- Distance to the lowest polymorph of the same formula: 1107 meV per atom

Geometry as extended XYZ:
```
5
Lattice="4.641 0.000 0.000 0.000 4.641 0.000 0.000 0.000 4.641" Properties=species:S:1:pos:R:3 pbc="T T T"
Rb 0.000 0.000 0.000
Nb 2.321 2.321 2.321
Mo 0.000 0.000 2.321
Mo 0.000 2.321 0.000
Mo 2.321 0.000 0.000
```

***

RbNb3Mo | GGA-PBE | relaxed

Results
- Total magnetic moment: 0.01 μB/f.u.
- Formation energy: 2990 meV per atom
- Distance to the lowest polymorph of the same formula: 1513 meV per atom

Geometry as extended XYZ:
```
5
Lattice="4.737 0.000 0.000 0.000 4.737 0.000 0.000 0.000 4.737" Properties=species:S:1:pos:R:3 pbc="T T T"
Rb 0.000 0.000 0.000
Nb 0.000 0.000 2.369
Nb 0.000 2.369 0.000
Nb 2.369 0.000 0.000
Mo 2.369 2.369 2.369
```

***

RbNbMo2 | GGA-PBE | relaxed

Results
- Total magnetic moment: 0.00 μB/f.u.
- Formation energy: 1885 meV per atom
- Distance to the lowest polymorph of the same formula: 144 meV per atom

Geometry as extended XYZ:
```
16
Lattice="4.987 0.000 0.000 0.000 4.987 0.000 0.000 0.000 17.984" Properties=species:S:1:pos:R:3 pbc="T T T"
Rb 0.000 0.000 0.000
Rb 0.000 2.493 4.496
Rb 2.493 0.000 13.488
Rb 2.493 2.493 8.992
Nb 0.000 0.000 8.992
Nb 0.000 2.493 13.488
Nb 2.493 0.000 4.496
Nb 2.493 2.493 0.000
Mo 0.309 1.247 11.240
Mo 1.247 2.802 15.736
Mo 1.247 4.678 6.744
Mo 2.184 1.247 2.248
Mo 2.802 3.740 2.248
Mo 3.740 0.309 6.744
Mo 3.740 2.184 15.736
Mo 4.678 3.740 11.240
```

***

Rb2NbMo2 | GGA-PBE | relaxed

Results
- Total magnetic moment: 2.40 μB/f.u.
- Formation energy: 1542 meV per atom
- Distance to the lowest polymorph of the same formula: 0 meV per atom

Geometry as extended XYZ:
```
10
Lattice="3.467 0.000 0.000 0.000 3.467 0.000 0.000 0.000 26.287" Properties=species:S:1:pos:R:3 pbc="T T T"
Rb 0.000 0.000 3.121
Rb 0.000 0.000 23.167
Rb 1.733 1.733 10.023
Rb 1.733 1.733 16.264
Nb 0.000 0.000 13.144
Nb 1.733 1.733 0.000
Mo 0.000 1.733 6.572
Mo 0.000 1.733 19.716
Mo 1.733 0.000 6.572
Mo 1.733 0.000 19.716
```

***

RbNb3Mo | GGA-PBE | relaxed

Results
- Total magnetic moment: 0.00 μB/f.u.
- Formation energy: 1477 meV per atom
- Distance to the lowest polymorph of the same formula: 0 meV per atom

Geometry as extended XYZ:
```
5
Lattice="5.034 0.000 0.000 0.000 5.034 0.000 0.000 0.000 5.034" Properties=species:S:1:pos:R:3 pbc="T T T"
Rb 0.000 0.000 0.000
Nb 0.000 2.517 2.517
Nb 2.517 0.000 2.517
Nb 2.517 2.517 0.000
Mo 2.517 2.517 2.517
```

***

RbNbMo2 | GGA-PBE | relaxed

Results
- Total magnetic moment: 0.00 μB/f.u.
- Formation energy: 1741 meV per atom
- Distance to the lowest polymorph of the same formula: 0 meV per atom

Geometry as extended XYZ:
```
16
Lattice="6.790 0.000 0.000 0.000 6.790 0.000 0.000 0.000 6.790" Properties=species:S:1:pos:R:3 pbc="T T T"
Rb 0.000 0.000 0.000
Rb 0.000 3.395 3.395
Rb 3.395 0.000 3.395
Rb 3.395 3.395 0.000
Nb 0.000 0.000 3.395
Nb 0.000 3.395 0.000
Nb 3.395 0.000 0.000
Nb 3.395 3.395 3.395
Mo 1.697 1.697 1.697
Mo 1.697 1.697 5.092
Mo 1.697 5.092 1.697
Mo 1.697 5.092 5.092
Mo 5.092 1.697 1.697
Mo 5.092 1.697 5.092
Mo 5.092 5.092 1.697
Mo 5.092 5.092 5.092
```

***

RbNbMo3 | GGA-PBE | relaxed

Results
- Total magnetic moment: 2.74 μB/f.u.
- Formation energy: 2025 meV per atom
- Distance to the lowest polymorph of the same formula: 0 meV per atom

Geometry as extended XYZ:
```
5
Lattice="4.980 0.000 0.000 0.000 4.980 0.000 0.000 0.000 4.980" Properties=species:S:1:pos:R:3 pbc="T T T"
Rb 0.000 0.000 0.000
Nb 2.490 2.490 2.490
Mo 0.000 2.490 2.490
Mo 2.490 0.000 2.490
Mo 2.490 2.490 0.000
```

***

Rb2NbMo2 | GGA-PBE | relaxed

Results
- Total magnetic moment: 2.93 μB/f.u.
- Formation energy: 2364 meV per atom
- Distance to the lowest polymorph of the same formula: 822 meV per atom

Geometry as extended XYZ:
```
10
Lattice="9.739 0.000 0.000 0.000 9.739 0.000 0.000 0.000 2.731" Properties=species:S:1:pos:R:3 pbc="T T T"
Rb 1.107 3.762 0.000
Rb 3.762 8.632 0.000
Rb 5.977 1.107 0.000
Rb 8.632 5.977 0.000
Nb 0.000 0.000 0.000
Nb 4.870 4.870 0.000
Mo 1.872 6.742 1.366
Mo 2.998 1.872 1.366
Mo 6.742 7.867 1.366
Mo 7.867 2.998 1.366
```

***

Nb6ReMo2 | GGA-PBE | relaxed

Results
- Total magnetic moment: 0.00 μB/f.u.
- Formation energy: 191 meV per atom

Geometry as extended XYZ:
```
9
Lattice="7.652 0.000 0.000 -3.826 6.627 0.000 0.000 0.000 3.174" Properties=species:S:1:pos:R:3 pbc="T T T"
Nb -2.161 4.659 0.866
Nb 0.872 2.426 0.866
Nb 2.537 0.458 2.308
Nb 1.289 6.169 0.866
Nb 2.954 4.201 2.308
Nb 5.987 1.968 2.308
Re 0.000 0.000 0.000
Mo 0.000 4.418 2.444
Mo 3.826 2.209 0.730
```

***

Nb14ReMo | GGA-PBE | relaxed

Results
- Total magnetic moment: 0.00 μB/f.u.
- Formation energy: -81 meV per atom

Geometry as extended XYZ:
```
16
Lattice="6.565 0.000 0.000 0.000 6.565 0.000 0.000 0.000 6.590" Properties=species:S:1:pos:R:3 pbc="T T T"
Nb 0.000 0.000 0.000
Nb 0.000 3.282 0.000
Nb 0.000 3.282 3.295
Nb 1.635 1.635 1.682
Nb 1.635 1.635 4.909
Nb 1.635 4.930 1.682
Nb 1.635 4.930 4.909
Nb 3.282 0.000 0.000
Nb 3.282 0.000 3.295
Nb 3.282 3.282 0.000
Nb 4.930 1.635 1.682
Nb 4.930 1.635 4.909
Nb 4.930 4.930 1.682
Nb 4.930 4.930 4.909
Re 0.000 0.000 3.295
Mo 3.282 3.282 3.295
```

***

Nb6ReMo | GGA-PBE | relaxed

Results
- Total magnetic moment: 0.00 μB/f.u.
- Formation energy: -147 meV per atom
- Distance to the lowest polymorph of the same formula: 0 meV per atom

Geometry as extended XYZ:
```
16
Lattice="4.592 0.000 0.000 0.000 4.592 0.000 0.000 0.000 13.180" Properties=species:S:1:pos:R:3 pbc="T T T"
Nb 0.000 0.000 3.300
Nb 0.000 0.000 9.880
Nb 0.000 2.296 1.591
Nb 0.000 2.296 4.999
Nb 0.000 2.296 8.181
Nb 0.000 2.296 11.589
Nb 2.296 0.000 1.591
Nb 2.296 0.000 4.999
Nb 2.296 0.000 8.181
Nb 2.296 0.000 11.589
Nb 2.296 2.296 3.290
Nb 2.296 2.296 9.890
Re 0.000 0.000 0.000
Re 2.296 2.296 6.590
Mo 0.000 0.000 6.590
Mo 2.296 2.296 0.000
```

***

NbReMo3 | GGA-PBE | relaxed

Results
- Total magnetic moment: 0.00 μB/f.u.
- Formation energy: 364 meV per atom
- Distance to the lowest polymorph of the same formula: 425 meV per atom

Geometry as extended XYZ:
```
20
Lattice="5.199 0.000 0.000 0.000 8.596 0.000 0.000 0.000 7.688" Properties=species:S:1:pos:R:3 pbc="T T T"
Nb 1.178 2.149 1.194
Nb 1.421 6.447 5.038
Nb 3.778 2.149 2.650
Nb 4.020 6.447 6.494
Re 0.000 0.000 3.844
Re 0.000 4.298 3.844
Re 2.599 0.000 0.000
Re 2.599 4.298 0.000
Mo 0.326 0.431 6.437
Mo 0.326 3.867 6.437
Mo 1.281 6.447 0.321
Mo 1.318 2.149 4.165
Mo 2.273 4.729 2.593
Mo 2.273 8.165 2.593
Mo 2.926 0.431 5.095
Mo 2.926 3.867 5.095
Mo 3.881 6.447 3.523
Mo 3.917 2.149 7.367
Mo 4.873 4.729 1.251
Mo 4.873 8.165 1.251
```

***

NbReMo4 | GGA-PBE | relaxed

Results
- Total magnetic moment: 0.00 μB/f.u.
- Formation energy: -59 meV per atom
- Distance to the lowest polymorph of the same formula: 0 meV per atom

Geometry as extended XYZ:
```
12
Lattice="10.045 0.000 0.000 0.000 3.176 0.000 -2.000 0.000 6.031" Properties=species:S:1:pos:R:3 pbc="T T T"
Nb 0.000 0.000 0.000
Nb 5.022 1.588 0.000
Re -1.000 0.000 3.016
Re 4.022 1.588 3.016
Mo 0.003 1.588 5.006
Mo 1.038 1.588 2.034
Mo 1.985 0.000 3.998
Mo 3.020 0.000 1.025
Mo 5.025 0.000 5.006
Mo 6.060 0.000 2.034
Mo 7.007 1.588 3.998
Mo 8.042 1.588 1.025
```

***

Nb2Re3Mo | GGA-PBE | relaxed

Results
- Total magnetic moment: 0.00 μB/f.u.
- Formation energy: -143 meV per atom

Geometry as extended XYZ:
```
6
Lattice="3.183 0.000 0.000 0.000 3.183 0.000 0.000 0.000 9.551" Properties=species:S:1:pos:R:3 pbc="T T T"
Nb 0.000 0.000 1.602
Nb 0.000 0.000 7.949
Re 1.591 1.591 0.000
Re 1.591 1.591 3.219
Re 1.591 1.591 6.332
Mo 0.000 0.000 4.776
```

***

Nb2ReMo8 | GGA-PBE | relaxed

Results
- Total magnetic moment: 0.00 μB/f.u.
- Formation energy: 282 meV per atom

Geometry as extended XYZ:
```
11
Lattice="2.708 0.000 0.000 -1.218 6.827 0.000 -0.010 -2.322 10.208" Properties=species:S:1:pos:R:3 pbc="T T T"
Nb 0.000 0.000 0.000
Nb -0.177 1.451 4.404
Re 1.537 3.326 6.191
Mo -0.194 4.415 0.975
Mo 0.472 0.988 7.039
Mo 1.065 -1.058 5.292
Mo 0.734 1.981 1.792
Mo 1.782 -0.517 2.643
Mo 1.352 0.326 9.430
Mo 1.906 -1.631 7.738
Mo 1.523 3.904 3.500
```

***

Nb6ReMo5 | GGA-PBE | relaxed

Results
- Total magnetic moment: 0.00 μB/f.u.
- Formation energy: -176 meV per atom

Geometry as extended XYZ:
```
12
Lattice="-2.285 3.224 6.848 2.285 -3.224 6.848 2.285 3.224 -6.848" Properties=species:S:1:pos:R:3 pbc="T T T"
Nb 2.285 1.610 -2.275
Nb 0.000 1.608 0.000
Nb 2.285 1.610 2.275
Nb 0.000 1.614 4.572
Nb 0.000 4.841 0.000
Nb 0.000 1.614 9.123
Re 2.285 0.000 0.000
Mo 0.000 0.000 2.272
Mo 2.285 0.000 4.563
Mo 0.000 0.000 6.848
Mo 0.000 3.224 2.284
Mo 0.000 0.000 11.424
```

***

NbReMo | GGA-PBE | relaxed

Results
- Total magnetic moment: 0.00 μB/f.u.
- Formation energy: -165 meV per atom
- Distance to the lowest polymorph of the same formula: 0 meV per atom

Geometry as extended XYZ:
```
6
Lattice="4.500 0.000 0.000 -2.250 3.897 0.000 0.000 0.000 5.553" Properties=species:S:1:pos:R:3 pbc="T T T"
Nb 0.000 0.000 0.000
Nb 0.000 2.598 3.698
Re 0.000 0.000 2.762
Re 2.250 1.299 4.627
Mo 0.000 2.598 0.944
Mo 2.250 1.299 1.851
```

***

Nb4ReMo2 | GGA-PBE | relaxed

Results
- Total magnetic moment: 0.00 μB/f.u.
- Formation energy: 146 meV per atom
- Distance to the lowest polymorph of the same formula: 0 meV per atom

Geometry as extended XYZ:
```
14
Lattice="6.334 0.000 0.000 0.000 6.334 0.000 0.000 0.000 6.421" Properties=species:S:1:pos:R:3 pbc="T T T"
Nb 1.583 1.583 1.605
Nb 1.583 1.583 4.816
Nb 1.583 4.750 1.605
Nb 1.583 4.750 4.816
Nb 4.750 1.583 1.605
Nb 4.750 1.583 4.816
Nb 4.750 4.750 1.605
Nb 4.750 4.750 4.816
Re 0.000 0.000 0.000
Re 3.167 3.167 3.211
Mo 0.000 3.167 0.000
Mo 0.000 3.167 3.211
Mo 3.167 0.000 0.000
Mo 3.167 0.000 3.211
```

***

NbReMo14 | GGA-PBE | relaxed

Results
- Total magnetic moment: 0.00 μB/f.u.
- Formation energy: -28 meV per atom

Geometry as extended XYZ:
```
16
Lattice="3.168 -4.474 0.000 3.168 4.474 0.000 0.000 0.000 8.981" Properties=species:S:1:pos:R:3 pbc="T T T"
Nb 0.000 0.000 0.000
Re 3.168 0.000 0.000
Mo 0.000 0.000 4.491
Mo 1.584 2.237 0.000
Mo 1.584 2.237 4.491
Mo 1.590 0.000 2.260
Mo 1.590 0.000 6.722
Mo 3.168 2.230 2.247
Mo 3.168 2.230 6.734
Mo 1.584 -2.237 0.000
Mo 1.584 -2.237 4.491
Mo 3.168 0.000 4.491
Mo 3.168 -2.230 2.247
Mo 3.168 -2.230 6.734
Mo 4.746 0.000 2.260
Mo 4.746 0.000 6.722
```

***

NbReMo | GGA-PBE | relaxed

Results
- Total magnetic moment: 0.00 μB/f.u.
- Formation energy: -92 meV per atom
- Distance to the lowest polymorph of the same formula: 73 meV per atom

Geometry as extended XYZ:
```
12
Lattice="7.848 0.000 0.000 0.000 4.519 0.000 -0.014 0.000 5.492" Properties=species:S:1:pos:R:3 pbc="T T T"
Nb 1.302 0.000 2.274
Nb 2.608 2.259 3.218
Nb 5.226 2.259 2.274
Nb 6.533 0.000 3.218
Re 1.296 0.000 5.043
Re 2.614 2.259 0.449
Re 5.221 2.259 5.043
Re 6.538 0.000 0.449
Mo -0.003 2.259 1.352
Mo -0.010 2.259 4.140
Mo 3.921 0.000 1.352
Mo 3.914 0.000 4.140
```

***

Nb4Re2Mo3 | GGA-PBE | relaxed

Results
- Total magnetic moment: 0.00 μB/f.u.
- Formation energy: -211 meV per atom

Geometry as extended XYZ:
```
9
Lattice="4.530 0.000 0.000 -2.265 3.923 0.000 0.000 0.000 8.398" Properties=species:S:1:pos:R:3 pbc="T T T"
Nb 0.000 0.000 1.429
Nb 0.000 0.000 6.969
Nb 0.000 2.616 5.124
Nb 2.265 1.308 3.273
Re 0.000 2.616 2.304
Re 2.265 1.308 6.094
Mo 0.000 0.000 4.199
Mo 0.000 2.616 7.980
Mo 2.265 1.308 0.417
```

***

Nb2Re2Mo | GGA-PBE | relaxed

Results
- Total magnetic moment: 0.00 μB/f.u.
- Formation energy: 213 meV per atom

Geometry as extended XYZ:
```
10
Lattice="3.214 0.000 0.000 0.000 16.538 0.000 0.000 0.000 3.225" Properties=species:S:1:pos:R:3 pbc="T T T"
Nb 0.000 1.642 0.000
Nb 0.000 14.895 0.000
Nb 1.607 6.627 0.000
Nb 1.607 9.911 0.000
Re 0.000 5.118 1.612
Re 0.000 11.420 1.612
Re 1.607 3.151 1.612
Re 1.607 13.386 1.612
Mo 0.000 8.269 1.612
Mo 1.607 0.000 1.612
```

***

NbReMo3 | GGA-PBE | relaxed

Results
- Total magnetic moment: 0.00 μB/f.u.
- Formation energy: -61 meV per atom
- Distance to the lowest polymorph of the same formula: 0 meV per atom

Geometry as extended XYZ:
```
20
Lattice="7.087 -3.174 0.000 7.087 3.174 0.000 -7.063 0.000 7.153" Properties=species:S:1:pos:R:3 pbc="T T T"
Nb -0.328 2.373 6.082
Nb 3.908 2.373 4.648
Nb 3.203 -2.373 2.505
Nb 7.440 -2.373 1.071
Re 5.321 2.366 1.788
Re 1.790 0.775 5.365
Re 5.321 -0.775 1.788
Re 1.790 -2.366 5.365
Mo -1.019 0.790 3.933
Mo -2.482 0.791 6.807
Mo 3.200 0.785 2.516
Mo 2.513 -0.790 0.356
Mo 1.049 -0.791 3.230
Mo 7.443 0.785 1.060
Mo -0.331 -0.785 6.093
Mo 6.062 0.791 3.923
Mo 4.599 0.790 6.797
Mo 3.911 -0.785 4.637
Mo 9.593 -0.791 0.346
Mo 8.130 -0.790 3.220
```